# 1
Below is an optimized crystal structure of La8N5, with properties calculated at the PBE level.

For the density of states at the Fermi level, the calculation gives 16.91 states/eV per cell. The formation energy (no corrections) comes out at -1.008 eV per atom. The calculation puts the density at 6.54 g/cm³. As for the calculated volume: 600.1 Å³/cell. The energy is -0.2662 hartree per atom.

The structure belongs to space group C2/m (No. 12); the cell edges are 12.7577, 7.3235 and 9.0226 Å and the angles 90.00°, 134.61° and 90.00°. The distinct sites, in fractional coordinates, are La at (0.0208, 0.0000, 0.2228), La at (0.0215, 0.5000, 0.2105), La at (0.2117, 0.2377, 0.7653), N at (0.0000, 0.0000, 0.5000), N at (0.0000, 0.2441, 0.0000) and N at (0.2468, 0.5000, 0.9894).

***

# 2
Below is an optimized crystal structure of La3N, with properties calculated at the PBE level.

For the density of states at the Fermi level, the calculation gives 10.83 states/eV per cell. Its excess energy over the best structure of this formula in the dataset is 158 meV per atom. The formation energy (no corrections) comes out at -0.436 eV per atom. The calculation puts the density at 6.27 g/cm³. As for the calculated volume: 228.3 Å³/cell. The energy is -0.2283 hartree per atom.

The structure belongs to space group Imm2 (No. 44); the cell edges are 3.3621, 10.7080 and 6.3414 Å and the angles 90.00°, 90.00° and 90.00°. The distinct sites, in fractional coordinates, are La at (0.0000, 0.0000, 0.0000), La at (0.0000, 0.1523, 0.4676) and N at (0.0000, 0.5000, 0.7872).

***

# 3
Below is an optimized crystal structure of LaN4, with properties calculated at the PBE level.

For the density of states at the Fermi level, the calculation gives 4.21 states/eV per cell. Its excess energy over the best structure of this formula in the dataset is 0 meV per atom. The formation energy (no corrections) comes out at -0.418 eV per atom. The calculation puts the density at 4.70 g/cm³. As for the calculated volume: 137.7 Å³/cell. The energy is -0.2963 hartree per atom.

The structure belongs to space group P-1 (No. 2); the cell edges are 4.3343, 5.2243 and 7.0423 Å and the angles 78.68°, 72.11° and 65.58°. The distinct sites, in fractional coordinates, are La at (0.1843, 0.2506, 0.2503), N at (0.1533, 0.7197, 0.9816), N at (0.2660, 0.7884, 0.0899), N at (0.3546, 0.7803, 0.5172) and N at (0.3558, 0.2885, 0.5905).

***

# 4
Below is an optimized crystal structure of La2N, with properties calculated at the PBE level.

For the density of states at the Fermi level, the calculation gives 2.48 states/eV per cell. The formation energy (no corrections) comes out at -0.883 eV per atom. The calculation puts the density at 6.12 g/cm³. As for the calculated volume: 79.2 Å³/cell. The energy is -0.2551 hartree per atom.

The structure belongs to space group P-3m1 (No. 164); the cell edges are 3.6822, 3.6822 and 6.7472 Å and the angles 90.00°, 90.00° and 120.00°. The distinct sites, in fractional coordinates, are La at (0.3333, 0.6667, 0.2084) and N at (0.0000, 0.0000, 0.0000).

***

# 5
Below is an optimized crystal structure of La4N3, with properties calculated at the PBE level.

For the density of states at the Fermi level, the calculation gives 8.22 states/eV per cell. The formation energy (no corrections) comes out at -1.177 eV per atom. The calculation puts the density at 6.44 g/cm³. As for the calculated volume: 462.2 Å³/cell. The energy is -0.2778 hartree per atom.

The structure belongs to space group R-3m (No. 166, hexagonal axes); the cell edges are 3.7313, 3.7313 and 38.3316 Å and the angles 90.00°, 90.00° and 120.00°. The distinct sites, in fractional coordinates, are La at (0.0000, 0.0000, 0.1157), La at (0.0000, 0.0000, 0.3716), N at (0.0000, 0.0000, 0.0000) and N at (0.0000, 0.0000, 0.2479).

***

# 6
Below is an optimized crystal structure of LaN4, with properties calculated at the PBE level.

For the density of states at the Fermi level, the calculation gives 2.71 states/eV per cell. Its excess energy over the best structure of this formula in the dataset is 2967 meV per atom. The formation energy (no corrections) comes out at 2.550 eV per atom. The calculation puts the density at 2.72 g/cm³. As for the calculated volume: 119.0 Å³/cell. The energy is -0.1873 hartree per atom.

The structure belongs to space group Pm-3m (No. 221); the cell edges are 4.9183, 4.9183 and 4.9183 Å and the angles 90.00°, 90.00° and 90.00°. The distinct sites, in fractional coordinates, are La at (0.0000, 0.0000, 0.0000), N at (0.0000, 0.0000, 0.5000) and N at (0.5000, 0.5000, 0.5000).

***

# 7
Below is an optimized crystal structure of La5N4, with properties calculated at the PBE level.

For the density of states at the Fermi level, the calculation gives 5.75 states/eV per cell. Its excess energy over the best structure of this formula in the dataset is 622 meV per atom. The formation energy (no corrections) comes out at -0.439 eV per atom. The calculation puts the density at 6.12 g/cm³. As for the calculated volume: 407.1 Å³/cell. The energy is -0.2527 hartree per atom.

The structure belongs to space group I4/mmm (No. 139); the cell edges are 11.2084, 11.2084 and 3.2407 Å and the angles 90.00°, 90.00° and 90.00°. The distinct sites, in fractional coordinates, are La at (0.0000, 0.0000, 0.0000), La at (0.0000, 0.2521, 0.0000) and N at (0.1356, 0.1356, 0.5000).

***

# 8
Below is an optimized crystal structure of NaLaN2, with properties calculated at the PBE level.

For the density of states at the Fermi level, the calculation gives 3.04 states/eV per cell. Its excess energy over the best structure of this formula in the dataset is 50 meV per atom. The formation energy (no corrections) comes out at 0.005 eV per atom. The calculation puts the density at 3.61 g/cm³. As for the calculated volume: 261.7 Å³/cell. The energy is -0.2102 hartree per atom.

The structure belongs to space group R-3m (No. 166, hexagonal axes); the cell edges are 3.8396, 3.8396 and 20.5009 Å and the angles 90.00°, 90.00° and 120.00°. The distinct sites, in fractional coordinates, are Na at (0.0000, 0.0000, 0.0000), La at (0.0000, 0.0000, 0.5000) and N at (0.0000, 0.0000, 0.1114).

***

# 9
Below is an optimized crystal structure of NaLaN2, with properties calculated at the PBE level.

For the density of states at the Fermi level, the calculation gives 0.00 states/eV per cell. Its excess energy over the best structure of this formula in the dataset is 702 meV per atom. The formation energy (no corrections) comes out at 0.657 eV per atom. The calculation puts the density at 3.32 g/cm³. As for the calculated volume: 285.4 Å³/cell. The energy is -0.1862 hartree per atom.

The structure belongs to space group R-3m (No. 166, hexagonal axes); the cell edges are 4.1270, 4.1270 and 19.3474 Å and the angles 90.00°, 90.00° and 120.00°. The distinct sites, in fractional coordinates, are Na at (0.0000, 0.0000, 0.0000), La at (0.0000, 0.0000, 0.5000) and N at (0.0000, 0.0000, 0.4024).

***

# 10
Below is an optimized crystal structure of NaLaN3, with properties calculated at the PBE level.

For the density of states at the Fermi level, the calculation gives 3.89 states/eV per cell. The formation energy (no corrections) comes out at 1.081 eV per atom. The calculation puts the density at 4.02 g/cm³. As for the calculated volume: 84.3 Å³/cell. The energy is -0.1897 hartree per atom.

The structure belongs to space group Pm-3m (No. 221); the cell edges are 4.3846, 4.3846 and 4.3846 Å and the angles 90.00°, 90.00° and 90.00°. The distinct sites, in fractional coordinates, are Na at (0.0000, 0.0000, 0.0000), La at (0.5000, 0.5000, 0.5000) and N at (0.0000, 0.5000, 0.5000).

***

Repeat the fourth record exactly.
Below is an optimized crystal structure of La2N, with properties calculated at the PBE level.

For the density of states at the Fermi level, the calculation gives 2.48 states/eV per cell. The formation energy (no corrections) comes out at -0.883 eV per atom. The calculation puts the density at 6.12 g/cm³. As for the calculated volume: 79.2 Å³/cell. The energy is -0.2551 hartree per atom.

The structure belongs to space group P-3m1 (No. 164); the cell edges are 3.6822, 3.6822 and 6.7472 Å and the angles 90.00°, 90.00° and 120.00°. The distinct sites, in fractional coordinates, are La at (0.3333, 0.6667, 0.2084) and N at (0.0000, 0.0000, 0.0000).